{
  "formula": "Sm3Fe2",
  "functional": "GGA-PBE",
  "state": "relaxed",
  "cell": [[4.424, -4.525, -2.443], [2.081, 6.255, 1.599], [2.043, -5.500, 4.471]],
  "species": ["Fe", "Fe", "Fe", "Fe", "Sm", "Sm", "Sm", "Sm", "Sm", "Sm"],
  "fractional_positions": [[0.191, 0.809, 0.428], [0.691, 0.309, 0.928], [0.809, 0.191, 0.572], [0.309, 0.691, 0.072], [0.250, 0.136, 0.250], [0.136, 0.636, 0.750], [0.750, 0.864, 0.750], [0.864, 0.364, 0.250], [0.636, 0.750, 0.250], [0.364, 0.250, 0.750]],
  "e_tot_ry_per_atom": -0.4361,
  "vol_a3_per_cell": 249.1,
  "mass_density_g_cm3": 7.50,
  "space_group": "R-3c"
}

---

{
  "formula": "Li2Mg2CuSn2Pt",
  "functional": "GGA-PBE",
  "state": "relaxed",
  "cell": [[4.573, 0.000, 0.000], [0.000, 4.573, 0.000], [0.000, 0.000, 6.408]],
  "species": ["Sn", "Sn", "Mg", "Mg", "Li", "Li", "Cu", "Pt"],
  "fractional_positions": [[0.000, 0.500, 0.244], [0.500, 0.000, 0.756], [0.500, 0.000, 0.256], [0.000, 0.500, 0.744], [0.500, 0.500, 0.000], [0.000, 0.000, 0.500], [0.000, 0.000, 0.000], [0.500, 0.500, 0.500]],
  "e_tot_ry_per_atom": -0.2607,
  "vol_a3_per_cell": 134.0,
  "mass_density_g_cm3": 6.92,
  "space_group": "P-4m2"
}

---

{
  "formula": "BaGdBe",
  "functional": "GGA-PBE",
  "state": "relaxed",
  "cell": [[0.000, 3.680, 3.680], [3.680, 0.000, 3.680], [3.680, 3.680, 0.000]],
  "species": ["Gd", "Be", "Ba"],
  "fractional_positions": [[0.750, 0.750, 0.750], [0.000, 0.000, 0.000], [0.250, 0.250, 0.250]],
  "vol_a3_per_cell": 99.6,
  "mass_density_g_cm3": 5.06,
  "de_polymorph_mev_per_atom": 0,
  "space_group": "F-43m"
}

---

{
  "formula": "RbLuCdO3",
  "functional": "GGA-PBE",
  "state": "relaxed",
  "cell": [[1.743, -6.815, 0.000], [1.743, 6.815, 0.000], [0.000, 0.000, 9.031]],
  "species": ["Lu", "Lu", "O", "O", "O", "O", "O", "O", "Cd", "Cd", "Rb", "Rb"],
  "fractional_positions": [[0.500, 0.500, 0.500], [0.500, 0.500, 0.000], [0.104, 0.896, 0.020], [0.896, 0.104, 0.980], [0.480, 0.520, 0.250], [0.896, 0.104, 0.520], [0.104, 0.896, 0.480], [0.520, 0.480, 0.750], [0.907, 0.093, 0.750], [0.093, 0.907, 0.250], [0.188, 0.812, 0.750], [0.812, 0.188, 0.250]],
  "e_tot_ry_per_atom": -0.4119,
  "vol_a3_per_cell": 214.6,
  "mass_density_g_cm3": 6.51,
  "space_group": "Cmcm"
}

---

{
  "formula": "SrMgCd2In",
  "functional": "GGA-PBE",
  "state": "relaxed",
  "cell": [[-1.834, 0.809, 6.795], [-6.320, -1.748, 2.683], [5.198, -2.563, -4.076]],
  "species": ["Sr", "Mg", "In", "Cd", "Cd"],
  "fractional_positions": [[0.999, 0.999, 0.000], [0.615, 0.615, 0.000], [0.391, 0.391, 0.000], [0.748, 0.248, 0.500], [0.248, 0.748, 0.500]],
  "e_tot_ry_per_atom": -0.1304,
  "vol_a3_per_cell": 136.6,
  "mass_density_g_cm3": 5.49,
  "space_group": "I4mm"
}

---

{
  "formula": "DyTm3Te2C2",
  "functional": "GGA-PBE",
  "state": "relaxed",
  "cell": [[-0.245, 3.487, 1.462], [-2.739, -2.531, 0.668], [6.729, -4.286, 11.351]],
  "species": ["Dy", "Te", "Te", "C", "C", "Tm", "Tm", "Tm"],
  "fractional_positions": [[0.333, 0.667, 0.093], [0.333, 0.667, 0.749], [0.667, 0.333, 0.253], [0.000, 0.000, 0.500], [0.000, 0.000, 0.998], [0.667, 0.333, 0.592], [0.333, 0.667, 0.409], [0.667, 0.333, 0.906]],
  "e_tot_ry_per_atom": -0.4579,
  "vol_a3_per_cell": 172.5,
  "mass_density_g_cm3": 9.13,
  "space_group": "P3m1"
}

---

{
  "formula": "CdH12C20S2N8",
  "functional": "GGA-PBE",
  "state": "relaxed",
  "cell": [[7.239, 0.000, 0.000], [0.260, 11.234, 0.000], [0.374, 0.026, 12.902]],
  "species": ["H", "H", "H", "H", "H", "H", "H", "H", "H", "H", "H", "H", "H", "H", "H", "H", "H", "H", "H", "H", "H", "H", "H", "H", "C", "C", "C", "C", "C", "C", "C", "C", "C", "C", "C", "C", "C", "C", "C", "C", "C", "C", "C", "C", "C", "C", "C", "C", "C", "C", "C", "C", "C", "C", "C", "C", "C", "C", "C", "C", "C", "C", "C", "C", "Cd", "Cd", "S", "S", "S", "S", "N", "N", "N", "N", "N", "N", "N", "N", "N", "N", "N", "N", "N", "N", "N", "N"],
  "fractional_positions": [[0.710, 0.927, 0.963], [0.124, 0.667, 0.302], [0.142, 0.967, 0.352], [0.437, 0.753, 0.323], [0.598, 0.132, 0.103], [0.290, 0.073, 0.037], [0.833, 0.631, 0.609], [0.402, 0.868, 0.897], [0.338, 0.896, 0.709], [0.662, 0.104, 0.291], [0.373, 0.194, 0.835], [0.218, 0.699, 0.970], [0.577, 0.449, 0.090], [0.858, 0.033, 0.648], [0.423, 0.551, 0.910], [0.876, 0.333, 0.698], [0.340, 0.502, 0.730], [0.627, 0.806, 0.165], [0.660, 0.498, 0.270], [0.167, 0.369, 0.391], [0.782, 0.301, 0.030], [0.563, 0.247, 0.677], [0.725, 0.649, 0.941], [0.275, 0.351, 0.059], [0.518, 0.572, 0.847], [0.247, 0.745, 0.516], [0.732, 0.749, 0.428], [0.490, 0.769, 0.158], [0.803, 0.648, 0.777], [0.977, 0.701, 0.789], [0.761, 0.996, 0.706], [0.530, 0.456, 0.254], [0.323, 0.062, 0.119], [0.384, 0.739, 0.246], [0.493, 0.095, 0.155], [0.265, 0.709, 0.049], [0.735, 0.291, 0.951], [0.193, 0.016, 0.190], [0.470, 0.544, 0.746], [0.020, 0.976, 0.155], [0.471, 0.920, 0.741], [0.850, 0.325, 0.867], [0.021, 0.378, 0.886], [0.790, 0.308, 0.766], [0.616, 0.261, 0.754], [0.150, 0.675, 0.133], [0.210, 0.692, 0.234], [0.023, 0.299, 0.211], [0.529, 0.080, 0.259], [0.753, 0.255, 0.484], [0.745, 0.616, 0.678], [0.315, 0.374, 0.137], [0.239, 0.004, 0.294], [0.255, 0.384, 0.322], [0.510, 0.231, 0.842], [0.685, 0.626, 0.863], [0.980, 0.024, 0.845], [0.482, 0.428, 0.153], [0.979, 0.622, 0.114], [0.677, 0.938, 0.881], [0.507, 0.905, 0.845], [0.807, 0.984, 0.810], [0.268, 0.251, 0.572], [0.197, 0.352, 0.223], [0.500, 0.500, 0.500], [0.500, 0.000, 0.500], [0.837, 0.388, 0.480], [0.163, 0.612, 0.520], [0.817, 0.882, 0.430], [0.183, 0.118, 0.570], [0.881, 0.254, 0.199], [0.582, 0.567, 0.664], [0.840, 0.575, 0.097], [0.311, 0.841, 0.513], [0.431, 0.755, 0.061], [0.689, 0.159, 0.487], [0.882, 0.941, 0.123], [0.418, 0.433, 0.336], [0.404, 0.035, 0.327], [0.332, 0.347, 0.575], [0.119, 0.746, 0.801], [0.118, 0.059, 0.877], [0.160, 0.425, 0.903], [0.569, 0.245, 0.939], [0.668, 0.653, 0.425], [0.596, 0.965, 0.673]],
  "e_tot_ry_per_atom": -0.5061,
  "vol_a3_per_cell": 1049.3,
  "mass_density_g_cm3": 1.71,
  "space_group": "P-1"
}

---

{
  "formula": "TmBeIr3",
  "functional": "GGA-PBE",
  "state": "relaxed",
  "cell": [[-3.735, -0.419, -1.964], [1.415, -3.491, -1.947], [-1.424, -2.370, 3.215]],
  "species": ["Ir", "Ir", "Ir", "Tm", "Be"],
  "fractional_positions": [[0.500, 0.000, 0.500], [0.000, 0.500, 0.500], [0.500, 0.500, 0.000], [0.000, 0.000, 0.000], [0.500, 0.500, 0.500]],
  "e_tot_ry_per_atom": -0.5474,
  "vol_a3_per_cell": 76.2,
  "mass_density_g_cm3": 16.44,
  "space_group": "Pm-3m"
}

---

{
  "formula": "CsCuSi",
  "functional": "GGA-PBE",
  "state": "relaxed",
  "cell": [[0.000, 3.576, 3.576], [3.576, 0.000, 3.576], [3.576, 3.576, 0.000]],
  "species": ["Cu", "Cs", "Si"],
  "fractional_positions": [[0.000, 0.000, 0.000], [0.250, 0.250, 0.250], [0.750, 0.750, 0.750]],
  "vol_a3_per_cell": 91.5,
  "mass_density_g_cm3": 4.08,
  "de_polymorph_mev_per_atom": 0,
  "space_group": "F-43m"
}

---

{
  "formula": "NaSrCoTe",
  "functional": "GGA-PBE",
  "state": "relaxed",
  "cell": [[0.000, 3.630, 3.630], [3.630, 0.000, 3.630], [3.630, 3.630, 0.000]],
  "species": ["Na", "Te", "Sr", "Co"],
  "fractional_positions": [[0.750, 0.750, 0.750], [0.250, 0.250, 0.250], [0.000, 0.000, 0.000], [0.500, 0.500, 0.500]],
  "vol_a3_per_cell": 95.6,
  "mass_density_g_cm3": 5.16,
  "de_polymorph_mev_per_atom": 232,
  "space_group": "F-43m"
}

---

{
  "formula": "PaTlB",
  "functional": "GGA-PBE",
  "state": "relaxed",
  "cell": [[0.000, 3.145, 3.145], [3.145, 0.000, 3.145], [3.145, 3.145, 0.000]],
  "species": ["B", "Tl", "Pa"],
  "fractional_positions": [[0.000, 0.000, 0.000], [0.750, 0.750, 0.750], [0.250, 0.250, 0.250]],
  "vol_a3_per_cell": 62.2,
  "mass_density_g_cm3": 11.91,
  "de_polymorph_mev_per_atom": 0,
  "space_group": "F-43m"
}

---

{
  "formula": "Sm2Ge2O5",
  "functional": "GGA-PBE",
  "state": "relaxed",
  "cell": [[6.762, 0.000, 0.000], [0.000, 4.089, 0.000], [0.000, 0.000, 4.089]],
  "species": ["Sm", "Sm", "O", "O", "O", "O", "O", "Ge", "Ge"],
  "fractional_positions": [[0.500, 0.000, 0.000], [0.000, 0.000, 0.000], [0.763, 0.000, 0.500], [0.237, 0.500, 0.000], [0.500, 0.500, 0.500], [0.237, 0.000, 0.500], [0.763, 0.500, 0.000], [0.781, 0.500, 0.500], [0.219, 0.500, 0.500]],
  "vol_a3_per_cell": 113.1,
  "mass_density_g_cm3": 7.72,
  "de_polymorph_mev_per_atom": 0,
  "space_group": "P4/mmm"
}

---

Please write out number 8 again, unchanged.
{
  "formula": "TmBeIr3",
  "functional": "GGA-PBE",
  "state": "relaxed",
  "cell": [[-3.735, -0.419, -1.964], [1.415, -3.491, -1.947], [-1.424, -2.370, 3.215]],
  "species": ["Ir", "Ir", "Ir", "Tm", "Be"],
  "fractional_positions": [[0.500, 0.000, 0.500], [0.000, 0.500, 0.500], [0.500, 0.500, 0.000], [0.000, 0.000, 0.000], [0.500, 0.500, 0.500]],
  "e_tot_ry_per_atom": -0.5474,
  "vol_a3_per_cell": 76.2,
  "mass_density_g_cm3": 16.44,
  "space_group": "Pm-3m"
}